Sr3Cd3CoO8 | the Alexandria database | PBE+U | optimized geometry; total moment = 1.0 μB per formula unit; total DFT energy (no corrections) = -5.124 eV per atom; volume = 229.1 Å³ per cell
1.0
5.9382 -3.4213 0.0000
5.9382 3.4213 0.0000
-3.9688 0.0000 5.6377
Sr Cd Co O
3 3 1 8
Cartesian
0.0000 0.0000 0.0000 Sr
2.9691 1.7106 0.0000 Sr
2.9691 -1.7106 0.0000 Sr
0.9847 1.7106 2.8189 Cd
0.9847 -1.7106 2.8189 Cd
3.9538 0.0000 2.8189 Cd
-1.9844 0.0000 2.8189 Co
-0.3635 0.0000 3.9233 O
3.1244 1.9918 3.9288 O
4.7832 1.9918 1.7089 O
1.9696 0.0000 1.5002 O
5.9379 0.0000 4.1375 O
3.1244 -1.9918 3.9288 O
4.7832 -1.9918 1.7089 O
8.2711 0.0000 1.7144 O